UTaBi: optimized geometry, PBE-GGA.

Geometry as extended XYZ:
```
3
Lattice="0.000 3.480 3.480 3.480 0.000 3.480 3.480 3.480 0.000" Properties=species:S:1:pos:R:3 pbc="T T T"
Ta 5.220 5.220 5.220
Bi 1.740 1.740 1.740
U 0.000 0.000 0.000
```

Output
For the raw total energy, the calculation gives -0.5654 Ry/atom. Its total magnetic moment is 0.093 μB per atom.



Li2Sc2AlTlAg2: optimized geometry, PBE-GGA.

Geometry as extended XYZ:
```
8
Lattice="-2.057 -4.103 -0.819 2.812 -0.680 -3.657 4.397 -2.991 3.937" Properties=species:S:1:pos:R:3 pbc="T T T"
Ag 2.415 -1.026 -0.925
Ag 2.359 -4.356 2.624
Tl 2.575 -3.887 -0.270
Li 0.040 -2.778 0.547
Li 4.734 -2.604 1.152
Sc 0.377 -2.392 -2.238
Sc 2.198 -1.495 1.968
Al 0.000 0.000 0.000
```

Output
For the raw total energy, the calculation gives -0.2806 Ry/atom. Its total magnetic moment is 0.000 μB per atom.



SmCuTe3Pb: optimized geometry, PBE-GGA.

Geometry as extended XYZ:
```
12
Lattice="8.506 0.000 0.000 0.000 4.335 0.000 -2.833 0.000 10.297" Properties=species:S:1:pos:R:3 pbc="T T T"
Te 5.073 1.084 4.767
Te 2.507 1.084 8.812
Te 0.600 3.251 5.531
Te 7.648 3.251 1.751
Te 3.166 3.251 1.485
Te -1.975 1.084 8.547
Sm 5.435 1.084 1.703
Sm 0.238 3.251 8.594
Pb 4.446 3.251 7.186
Pb 1.227 1.084 3.111
Cu -1.027 1.084 6.038
Cu 6.700 3.251 4.260
```

Output
For the raw total energy, the calculation gives -0.3160 Ry/atom. Its total magnetic moment is 0.000 μB per atom. Its excess energy over the best structure of this formula in the dataset is 22 meV/atom.



HoAlTl: optimized geometry, PBE-GGA.

Geometry as extended XYZ:
```
3
Lattice="0.035 -0.650 4.761 -3.288 2.176 2.746 -3.467 -2.582 2.097" Properties=species:S:1:pos:R:3 pbc="T T T"
Al 0.000 0.000 0.000
Tl -5.041 -0.793 7.203
Ho -1.680 -0.264 2.401
```

Output
For the raw total energy, the calculation gives -0.2634 Ry/atom. Its total magnetic moment is 0.001 μB per atom. Its excess energy over the best structure of this formula in the dataset is 254 meV/atom.



Si6W: optimized geometry, PBE-GGA.

Geometry as extended XYZ:
```
7
Lattice="2.403 1.387 5.199 -2.403 1.387 5.199 0.000 -2.775 5.199" Properties=species:S:1:pos:R:3 pbc="T T T"
Si -0.009 -1.378 9.015
Si 0.009 1.378 6.581
Si 1.198 0.681 9.015
Si 1.189 -0.697 6.581
Si -1.189 0.697 9.015
Si -1.198 -0.681 6.581
W 0.000 0.000 0.000
```

Output
For the raw total energy, the calculation gives -0.4472 Ry/atom. Its total magnetic moment is 0.053 μB per atom.



AlAsW4N2: optimized geometry, PBE-GGA.

Geometry as extended XYZ:
```
8
Lattice="2.904 0.000 0.000 -1.452 2.515 0.000 0.000 0.000 14.244" Properties=species:S:1:pos:R:3 pbc="T T T"
W 0.000 0.000 2.053
W 0.000 1.677 4.889
W 0.000 0.000 12.190
W 0.000 1.677 9.355
Al 0.000 0.000 7.122
N 1.452 0.838 3.494
N 1.452 0.838 10.750
As 0.000 1.677 0.000
```

Output
For the raw total energy, the calculation gives -0.6936 Ry/atom. Its total magnetic moment is 0.001 μB per atom.



ZnS: optimized geometry, PBE-GGA.

Geometry as extended XYZ:
```
48
Lattice="3.836 0.000 0.000 -1.918 3.322 0.000 0.000 0.000 75.220" Properties=species:S:1:pos:R:3 pbc="T T T"
Zn 0.000 2.215 72.085
Zn 0.000 0.000 18.805
Zn 1.918 1.107 59.549
Zn 0.000 0.000 37.610
Zn 1.918 1.107 25.073
Zn 0.000 0.000 65.817
Zn 0.000 0.000 47.012
Zn 1.918 1.107 6.268
Zn 0.000 2.215 21.939
Zn 1.918 1.107 15.671
Zn 1.918 1.107 68.952
Zn 1.918 1.107 43.878
Zn 1.918 1.107 50.147
Zn 0.000 2.215 40.744
Zn 0.000 2.215 53.281
Zn 0.000 2.215 12.537
Zn 0.000 0.000 56.415
Zn 1.918 1.107 34.476
Zn 0.000 0.000 9.403
Zn 0.000 0.000 28.208
Zn 0.000 2.215 62.683
Zn 0.000 2.215 31.342
Zn 0.000 0.000 0.000
Zn 0.000 2.215 3.135
S 0.000 0.000 58.765
S 0.000 0.000 11.753
S 0.000 2.215 5.485
S 1.918 1.107 71.302
S 1.918 1.107 46.227
S 1.918 1.107 8.618
S 0.000 2.215 65.033
S 0.000 0.000 68.168
S 0.000 2.215 14.887
S 1.918 1.107 36.826
S 1.918 1.107 27.423
S 0.000 2.215 24.290
S 0.000 0.000 30.558
S 1.918 1.107 61.899
S 0.000 2.215 43.095
S 1.918 1.107 18.021
S 0.000 0.000 2.351
S 0.000 2.215 74.435
S 0.000 2.215 55.631
S 0.000 0.000 21.155
S 1.918 1.107 52.497
S 0.000 0.000 49.364
S 0.000 2.215 33.692
S 0.000 0.000 39.960
```

Output
For the raw total energy, the calculation gives -0.2578 Ry/atom.



MgAg: optimized geometry, PBE-GGA.

Geometry as extended XYZ:
```
4
Lattice="-4.119 0.851 2.074 0.888 -4.239 -1.800 2.067 -1.588 4.758" Properties=species:S:1:pos:R:3 pbc="T T T"
Mg 0.904 -0.694 2.081
Mg 1.157 -4.030 3.952
Ag 0.124 -3.237 1.574
Ag 1.938 -1.488 4.461
```

Output
For the raw total energy, the calculation gives -0.1441 Ry/atom.



HoZnInTe3: optimized geometry, PBE-GGA.

Geometry as extended XYZ:
```
24
Lattice="4.498 0.000 0.000 0.000 12.464 0.000 0.000 0.000 13.015" Properties=species:S:1:pos:R:3 pbc="T T T"
Ho 3.374 6.530 10.593
Ho 1.125 5.934 2.422
Ho 3.374 0.298 8.930
Ho 1.125 12.166 4.086
Te 3.374 1.192 5.671
Te 1.125 5.040 12.178
Te 1.125 2.799 2.437
Te 3.374 12.023 1.908
Te 3.374 9.665 10.578
Te 1.125 9.031 4.071
Te 3.374 7.424 0.837
Te 1.125 11.272 7.344
Te 1.125 6.673 8.415
Te 3.374 3.433 8.945
Te 3.374 5.791 4.600
Te 1.125 0.441 11.108
Zn 1.125 3.015 10.421
Zn 3.374 3.218 3.914
Zn 3.374 9.450 2.594
Zn 1.125 9.247 9.102
In 3.374 2.332 12.896
In 3.374 8.564 6.627
In 1.125 3.900 6.388
In 1.125 10.132 0.119
```

Output
For the raw total energy, the calculation gives -0.2727 Ry/atom. Its total magnetic moment is 0.001 μB per atom. Its excess energy over the best structure of this formula in the dataset is 65 meV/atom.



PmFePt: optimized geometry, PBE-GGA.

Geometry as extended XYZ:
```
3
Lattice="0.000 3.268 3.268 3.268 0.000 3.268 3.268 3.268 0.000" Properties=species:S:1:pos:R:3 pbc="T T T"
Pm 4.902 4.902 4.902
Pt 0.000 0.000 0.000
Fe 1.634 1.634 1.634
```

Output
For the raw total energy, the calculation gives -0.4817 Ry/atom. Its total magnetic moment is 0.985 μB per atom. Its excess energy over the best structure of this formula in the dataset is 0 meV/atom.



PrScO3: optimized geometry, PBE-GGA.

Geometry as extended XYZ:
```
20
Lattice="5.806 0.000 0.000 0.000 5.921 0.000 0.000 0.000 8.508" Properties=species:S:1:pos:R:3 pbc="T T T"
Pr 0.000 2.961 0.000
Pr 0.000 2.961 4.254
Pr 2.903 0.000 4.254
Pr 2.903 0.000 0.000
O 1.930 5.028 2.127
O 2.038 3.858 4.971
O 4.941 5.024 0.717
O 2.038 3.858 7.791
O 0.865 0.897 7.791
O 0.865 0.897 4.971
O 3.768 2.064 3.537
O 4.941 5.024 3.537
O 3.768 2.064 0.717
O 4.833 3.855 6.381
O 0.973 2.067 2.127
O 3.876 0.894 6.381
Sc 5.693 5.864 6.381
Sc 2.790 3.019 2.127
Sc 3.016 2.903 6.381
Sc 0.113 0.058 2.127
```

Output
For the raw total energy, the calculation gives -0.6184 Ry/atom. Its total magnetic moment is 0.000 μB per atom.



TbZnIn: optimized geometry, PBE-GGA.

Geometry as extended XYZ:
```
3
Lattice="-3.806 -2.210 -1.619 -4.181 0.776 1.978 -3.289 2.396 -2.332" Properties=species:S:1:pos:R:3 pbc="T T T"
Zn 0.000 0.000 0.000
Tb -8.457 0.721 -1.480
In -2.819 0.240 -0.493
```

Output
For the raw total energy, the calculation gives -0.2411 Ry/atom. Its total magnetic moment is 0.000 μB per atom.